The following is a GGA-PBE calculation of a relaxed structure of Ba2ThScS6, from the Alexandria database.

a = 7.203 Å, b = 7.481 Å, c = 10.354 Å
α = 90.00°, β = 90.67°, γ = 90.00°
Element x y z (fractional)
Sc1 0.000 0.500 0.000
S1 0.077 0.484 0.759
S2 0.923 0.516 0.241
S3 0.423 0.984 0.741
S4 0.698 0.284 0.541
Ba1 0.481 0.441 0.251
S5 0.216 0.202 0.460
Ba2 0.519 0.559 0.749
S6 0.302 0.716 0.459
Ba3 0.019 0.941 0.249
Sc2 0.500 0.000 0.500
S7 0.716 0.298 0.960
S8 0.198 0.216 0.041
Ba4 0.981 0.059 0.751
S9 0.802 0.784 0.959
S10 0.784 0.798 0.540
Th1 0.000 0.500 0.500
Th2 0.500 0.000 0.000
S11 0.577 0.016 0.259
S12 0.284 0.702 0.040

Output
Uncorrected formation energy in eV/atom: -1.841
Total DFT energy (no corrections) in hartree per atom: -0.22332
Space group: P2_1/c, No. 14
N(E_F) in states/eV/atom: 1.217


The following is a GGA-PBE calculation of a relaxed structure of AsPtPb2, from the Alexandria database.

a = 6.243 Å, b = 6.243 Å, c = 6.243 Å
α = 148.07°, β = 129.78°, γ = 60.76°
Element x y z (fractional)
Pb1 0.005 0.005 0.000
Pt1 0.476 0.476 0.000
Pb2 0.711 0.211 0.500
As1 0.309 0.809 0.500

Output
Total DFT energy (no corrections) in hartree per atom: -0.16804
Space group: Imm2, No. 44
Calculated formation energy in eV per formula unit: -0.183
N(E_F) in states/eV/atom: 0.498


The following is a GGA-PBE calculation of a relaxed structure of BaTm2Ga, from the Alexandria database.

a = 3.614 Å, b = 3.614 Å, c = 11.616 Å
α = 81.05°, β = 81.05°, γ = 60.00°
Element x y z (fractional)
Tm1 0.106 0.106 0.681
Ba1 0.000 0.000 0.000
Tm2 0.894 0.894 0.319
Ga1 0.500 0.500 0.500

Output
Total DFT energy (no corrections) in hartree per atom: -0.12686
Space group: R-3m, No. 166
Calculated formation energy in eV per formula unit: 0.085
N(E_F) in states/eV/atom: 1.013


The following is a GGA-PBE calculation of a relaxed structure of MgTl2P, from the Alexandria database.

a = 4.418 Å, b = 4.418 Å, c = 4.998 Å
α = 90.00°, β = 90.00°, γ = 90.03°
Element x y z (fractional)
P1 0.000 0.500 0.500
Mg1 0.500 0.000 0.500
Tl1 0.000 0.000 0.000
Tl2 0.500 0.500 0.000

Output
Total DFT energy (no corrections) in hartree per atom: -0.10297
Space group: P4/mmm, No. 123
Calculated formation energy in eV per formula unit: 0.529
N(E_F) in states/eV/atom: 0.281


The following is a GGA-PBE calculation of a relaxed structure of SmPaNi17, from the Alexandria database.

a = 6.253 Å, b = 6.253 Å, c = 6.253 Å
α = 82.96°, β = 82.96°, γ = 82.96°
Element x y z (fractional)
Ni1 0.294 0.703 0.003
Ni2 0.651 0.651 0.159
Ni3 0.103 0.103 0.103
Ni4 0.003 0.294 0.703
Ni5 0.703 0.003 0.294
Ni6 0.998 0.502 0.998
Ni7 0.294 0.003 0.703
Pa1 0.336 0.336 0.336
Ni8 0.849 0.345 0.345
Ni9 0.003 0.703 0.294
Ni10 0.345 0.849 0.345
Ni11 0.998 0.998 0.502
Ni12 0.703 0.294 0.003
Ni13 0.651 0.159 0.651
Ni14 0.903 0.903 0.903
Ni15 0.345 0.345 0.849
Ni16 0.159 0.651 0.651
Ni17 0.502 0.998 0.998
Sm1 0.661 0.661 0.661

Output
Total DFT energy (no corrections) in hartree per atom: -0.22521
Space group: R3m, No. 160
Calculated formation energy in eV per formula unit: -3.941
N(E_F) in states/eV/atom: 1.340


The following is a GGA-PBE calculation of a relaxed structure of Mg2RhBr, from the Alexandria database.

a = 5.812 Å, b = 5.812 Å, c = 5.812 Å
α = 140.91°, β = 140.91°, γ = 56.47°
Element x y z (fractional)
Br1 0.750 0.250 0.500
Mg1 0.250 0.750 0.500
Mg2 0.000 0.000 0.000
Rh1 0.500 0.500 0.000

Output
Uncorrected formation energy in eV/atom: -0.123
Total DFT energy (no corrections) in hartree per atom: -0.11672
Space group: I-4m2, No. 119
N(E_F) in states/eV/atom: 0.395


The following is a GGA-PBE calculation of a relaxed structure of ScNbSb2I, from the Alexandria database.

a = 5.357 Å, b = 5.357 Å, c = 5.613 Å
α = 90.00°, β = 90.00°, γ = 90.00°
Element x y z (fractional)
Sc1 0.500 0.500 0.500
I1 0.000 0.000 0.500
Sb1 0.500 0.000 0.000
Nb1 0.000 0.000 0.000
Sb2 0.000 0.500 0.000

Output
Uncorrected formation energy in eV/atom: 0.405
Total DFT energy (no corrections) in hartree per atom: -0.17764
Space group: P4/mmm, No. 123
N(E_F) in states/eV/atom: 1.140


The following is a GGA-PBE calculation of a relaxed structure of Ac7TbCo3, from the Alexandria database.

a = 6.722 Å, b = 8.211 Å, c = 8.211 Å
α = 120.00°, β = 90.00°, γ = 90.00°
Element x y z (fractional)
Co1 0.780 0.995 0.497
Co2 0.780 0.503 0.497
Co3 0.780 0.503 0.005
Ac1 0.541 0.665 0.833
Ac2 0.541 0.167 0.833
Tb1 0.569 0.667 0.333
Ac3 0.025 0.831 0.661
Ac4 0.541 0.167 0.335
Ac5 0.025 0.831 0.169
Ac6 0.025 0.339 0.169
Ac7 0.008 0.333 0.667

Output
Total DFT energy (no corrections) in hartree per atom: -0.18380
Space group: P3m1, No. 156
Calculated formation energy in eV per formula unit: -0.308
N(E_F) in states/eV/atom: 1.200


The following is a GGA-PBE calculation of a relaxed structure of MnBe5, from the Alexandria database.

a = 4.374 Å, b = 4.374 Å, c = 5.570 Å
α = 76.12°, β = 76.12°, γ = 29.77°
Element x y z (fractional)
Be1 0.008 0.008 0.001
Be2 0.330 0.330 0.330
Be3 0.942 0.942 0.599
Be4 0.610 0.610 0.289
Be5 0.665 0.665 0.664
Mn1 0.278 0.278 0.950

Output
Total DFT energy (no corrections) in hartree per atom: -0.17085
Space group: Cm, No. 8
Calculated formation energy in eV per formula unit: -0.094
N(E_F) in states/eV/atom: 0.283


The following is a GGA-PBE calculation of a relaxed structure of CeAlZnPd, from the Alexandria database.

a = 4.439 Å, b = 4.439 Å, c = 5.562 Å
α = 66.48°, β = 66.48°, γ = 60.00°
Element x y z (fractional)
Zn1 0.328 0.328 0.016
Al1 0.598 0.598 0.207
Ce1 0.803 0.803 0.592
Pd1 0.998 0.998 0.007

Output
Total DFT energy (no corrections) in hartree per atom: -0.16526
Space group: R3m, No. 160
Calculated formation energy in eV per formula unit: -1.844
N(E_F) in states/eV/atom: 1.661


The following is a GGA-PBE calculation of a relaxed structure of Cr2CoTc, from the Alexandria database.

a = 4.443 Å, b = 4.443 Å, c = 4.496 Å
α = 80.92°, β = 80.92°, γ = 33.69°
Element x y z (fractional)
Cr1 0.510 0.510 0.481
Cr2 0.990 0.990 0.019
Co1 0.250 0.250 0.250
Tc1 0.750 0.750 0.750

Output
Total DFT energy (no corrections) in hartree per atom: -0.33224
Space group: C2/m, No. 12
Calculated formation energy in eV per formula unit: 0.556
N(E_F) in states/eV/atom: 1.072


The following is a GGA-PBE calculation of a relaxed structure of Th6Hg2Ru, from the Alexandria database.

a = 6.303 Å, b = 8.161 Å, c = 10.342 Å
α = 90.00°, β = 90.65°, γ = 90.00°
Element x y z (fractional)
Hg1 0.105 0.622 0.244
Th1 0.382 0.834 0.047
Th2 0.870 0.978 0.245
Th3 0.609 0.189 0.546
Hg2 0.395 0.122 0.256
Hg3 0.605 0.878 0.744
Th4 0.370 0.522 0.745
Th5 0.891 0.689 0.954
Th6 0.130 0.022 0.755
Th7 0.391 0.811 0.454
Th8 0.109 0.311 0.046
Th9 0.630 0.478 0.255
Th10 0.882 0.666 0.547
Ru1 0.000 0.000 0.500
Hg4 0.895 0.378 0.756
Ru2 0.500 0.500 0.000
Th11 0.618 0.166 0.953
Th12 0.118 0.334 0.453

Output
Total DFT energy (no corrections) in hartree per atom: -0.22707
Space group: P2_1/c, No. 14
Calculated formation energy in eV per formula unit: -1.211
N(E_F) in states/eV/atom: 1.241